(1)
GGA-PBEsol La3Rh2, optimized geometry; VASP energy = -7.006 eV per atom; magnetic moment = 0.00 μB per cell
1.0
0.0000 7.4923 3.0773
5.3992 0.0000 3.0773
5.3992 7.4923 0.0000
La Rh
6 4
direct
0.0000 0.0000 0.0000
0.2500 0.2500 0.2500
0.2988 0.7204 0.6196
0.6304 0.8888 0.9512
0.7204 0.2988 0.3612
0.8888 0.6304 0.5296
0.2639 0.4026 0.4851
0.4016 0.7649 0.8474
0.4026 0.2639 0.8484
0.7649 0.4016 0.9861

---

(2)
GGA-PBEsol Mg2ScTc, optimized geometry; VASP energy = -5.182 eV per atom; magnetic moment = 0.00 μB per cell
1.0
3.9584 0.0000 0.0000
0.0000 3.9584 0.0000
0.0000 0.0000 4.6182
Mg Sc Tc
2 1 1
direct
0.0000 0.5000 0.0000
0.5000 0.0000 0.0000
0.0000 0.0000 0.5000
0.5000 0.5000 0.5000

---

Copy entry 1 word for word.
GGA-PBEsol La3Rh2, optimized geometry; VASP energy = -7.006 eV per atom; magnetic moment = 0.00 μB per cell
1.0
0.0000 7.4923 3.0773
5.3992 0.0000 3.0773
5.3992 7.4923 0.0000
La Rh
6 4
direct
0.0000 0.0000 0.0000
0.2500 0.2500 0.2500
0.2988 0.7204 0.6196
0.6304 0.8888 0.9512
0.7204 0.2988 0.3612
0.8888 0.6304 0.5296
0.2639 0.4026 0.4851
0.4016 0.7649 0.8474
0.4026 0.2639 0.8484
0.7649 0.4016 0.9861